Here is crystalline CrSe3F at its relaxed geometry from Alexandria. Energies are from PBE+U.

Calculated values
**Uncorrected energy**: -3.487 eV/atom
**ΔE to the lowest computed polymorph**: 0.0000 eV per atom
**Crystal system**: cubic

a b c (Å): 4.6621 4.6621 4.6621
angles (deg): 90.00 90.00 90.00
Space group Pm-3m (No. 221)
One atom of each set of equivalent atoms:
Cr (0.0000, 0.0000, 0.0000) (multiplicity 1)
Se (0.0000, 0.0000, 0.5000) (multiplicity 3)
F (0.5000, 0.5000, 0.5000) (multiplicity 1)